An optimized crystal structure of ZnGaI2N, computed with GGA-PBE.

Cell lengths 5.941, 5.941, 3.907 Å; angles 90.00, 90.00, 90.00 degrees
Element x y z (fractional)
Zn 0.000 0.000 0.000
Ga 0.500 0.500 0.500
I 0.000 0.500 0.000
I 0.500 0.000 0.000
N 0.000 0.000 0.500

Summary:
- distance to the lowest polymorph of the same formula (eV/atom) = 0.000
- energy relative to the elements, uncorrected (kcal/mol of atoms) = 9.4
- electronic total energy (Ry/atom) = -0.201

An optimized crystal structure of ZrGaI2N, computed with GGA-PBE.

Cell lengths 5.851, 5.851, 3.539 Å; angles 90.00, 90.00, 90.00 degrees
Element x y z (fractional)
Zr 0.000 0.000 0.000
Ga 0.500 0.500 0.500
I 0.000 0.500 0.500
I 0.500 0.000 0.500
N 0.500 0.500 0.000

Summary:
- distance to the lowest polymorph of the same formula (eV/atom) = 0.771
- energy relative to the elements, uncorrected (kcal/mol of atoms) = 11.4
- electronic total energy (Ry/atom) = -0.302

An optimized crystal structure of ZrGaI2N, computed with GGA-PBE.

Cell lengths 6.023, 6.023, 4.047 Å; angles 90.00, 90.00, 90.00 degrees
Element x y z (fractional)
Zr 0.000 0.000 0.000
Ga 0.500 0.500 0.500
I 0.000 0.500 0.000
I 0.500 0.000 0.000
N 0.000 0.000 0.500

Summary:
- distance to the lowest polymorph of the same formula (eV/atom) = 0.000
- energy relative to the elements, uncorrected (kcal/mol of atoms) = -6.4
- electronic total energy (Ry/atom) = -0.358

An optimized crystal structure of ZrGaI2N, computed with GGA-PBE.

Cell lengths 6.298, 6.298, 3.949 Å; angles 90.00, 90.00, 90.00 degrees
Element x y z (fractional)
Zr 0.000 0.000 0.000
Ga 0.500 0.500 0.000
I 0.000 0.500 0.500
I 0.500 0.000 0.500
N 0.000 0.000 0.500

Summary:
- distance to the lowest polymorph of the same formula (eV/atom) = 0.462
- energy relative to the elements, uncorrected (kcal/mol of atoms) = 4.3
- electronic total energy (Ry/atom) = -0.324

An optimized crystal structure of NaGa2I8, computed with GGA-PBE.

Cell lengths 8.389, 8.389, 8.961 Å; angles 90.00, 90.00, 120.00 degrees
Element x y z (fractional)
Na 0.000 0.000 0.000
Ga 0.333 0.667 0.657
Ga 0.667 0.333 0.343
I 0.163 0.325 0.740
I 0.163 0.837 0.740
I 0.325 0.163 0.260
I 0.333 0.667 0.369
I 0.667 0.333 0.631
I 0.675 0.837 0.740
I 0.837 0.163 0.260
I 0.837 0.675 0.260

Summary:
- distance to the lowest polymorph of the same formula (eV/atom) = 0.062
- energy relative to the elements, uncorrected (kcal/mol of atoms) = -10.8
- electronic total energy (Ry/atom) = -0.167

An optimized crystal structure of Na2GaI4, computed with GGA-PBE.

Cell lengths 7.464, 7.464, 12.236 Å; angles 90.00, 90.00, 90.00 degrees
Element x y z (fractional)
Na 0.000 0.500 0.250
Na 0.000 0.500 0.750
Na 0.500 0.000 0.250
Na 0.500 0.000 0.750
Ga 0.000 0.000 0.000
Ga 0.500 0.500 0.500
I 0.233 0.233 0.116
I 0.233 0.767 0.884
I 0.267 0.267 0.616
I 0.267 0.733 0.384
I 0.733 0.267 0.384
I 0.733 0.733 0.616
I 0.767 0.233 0.884
I 0.767 0.767 0.116

Summary:
- distance to the lowest polymorph of the same formula (eV/atom) = 0.000
- energy relative to the elements, uncorrected (kcal/mol of atoms) = -18.3
- electronic total energy (Ry/atom) = -0.183

An optimized crystal structure of NaGaI3, computed with GGA-PBE.

Cell lengths 5.986, 5.986, 5.986 Å; angles 90.00, 90.00, 90.00 degrees
Element x y z (fractional)
Na 0.000 0.000 0.000
Ga 0.500 0.500 0.500
I 0.000 0.000 0.500
I 0.000 0.500 0.000
I 0.500 0.000 0.000

Summary:
- distance to the lowest polymorph of the same formula (eV/atom) = 0.525
- energy relative to the elements, uncorrected (kcal/mol of atoms) = -6.4
- electronic total energy (Ry/atom) = -0.153

An optimized crystal structure of NaGa2I, computed with GGA-PBE.

Cell lengths 8.945, 8.945, 5.970 Å; angles 90.00, 90.00, 90.00 degrees
Element x y z (fractional)
Na 0.000 0.000 0.000
Na 0.000 0.500 0.250
Na 0.500 0.000 0.750
Na 0.500 0.500 0.500
Ga 0.249 0.250 0.625
Ga 0.250 0.749 0.875
Ga 0.250 0.751 0.375
Ga 0.251 0.250 0.125
Ga 0.749 0.750 0.125
Ga 0.750 0.249 0.375
Ga 0.750 0.251 0.875
Ga 0.751 0.750 0.625
I 0.000 0.000 0.500
I 0.000 0.500 0.750
I 0.500 0.000 0.250
I 0.500 0.500 0.000

Summary:
- distance to the lowest polymorph of the same formula (eV/atom) = 0.000
- energy relative to the elements, uncorrected (kcal/mol of atoms) = -1.1
- electronic total energy (Ry/atom) = -0.167

> The highest energy relative to the elements, uncorrected belongs to which entry?

number 2